No. 1
LaFeCoSi3: optimized geometry, GGA-PBE.

Summary:
DOS(E_F)   0.717 states/eV/atom
Formation energy (no corrections)   -0.4355 eV per atom

Unit cell a=6.047 b=11.210 c=6.073 alpha=90.00 beta=90.00 gamma=90.00
Space group Cmcm (No. 63)
Unique sites:
La 0.000 0.244 0.250 x4
Fe 0.000 0.033 0.750 x4
Co 0.000 0.409 0.750 x4
Si 0.000 0.221 0.750 x4
Si 0.217 0.500 0.000 x8

No. 2
La6FeCoSn2: optimized geometry, GGA-PBE.

Summary:
DOS(E_F)   0.626 states/eV/atom
DFT formation energy   -0.417 eV/atom

Unit cell a=10.530 b=10.568 c=7.461 alpha=90.00 beta=134.85 gamma=90.00
Space group Cm (No. 8)
Unique sites:
La 0.000 0.000 0.000 x2
La 0.001 0.500 0.002 x2
La 0.003 0.500 0.501 x2
La 0.250 0.251 0.501 x4
La 0.496 0.500 0.501 x2
Fe 0.263 0.500 0.502 x2
Co 0.252 0.000 0.501 x2
Sn 0.251 0.250 0.001 x4

No. 3
SrLa2FeCo: optimized geometry, GGA-PBE.

Summary:
DOS(E_F)   1.259 states/eV/atom
DFT formation energy   1.645 eV/atom

Unit cell a=5.803 b=5.803 c=4.567 alpha=90.00 beta=90.00 gamma=90.00
Space group P4/mmm (No. 123)
Unique sites:
Sr 0.000 0.000 0.000 x1
La 0.000 0.500 0.000 x2
Fe 0.000 0.000 0.500 x1
Co 0.500 0.500 0.500 x1

Please write out number 2 again, unchanged.
La6FeCoSn2: optimized geometry, GGA-PBE.

Summary:
DOS(E_F)   0.626 states/eV/atom
DFT formation energy   -0.417 eV/atom

Unit cell a=10.530 b=10.568 c=7.461 alpha=90.00 beta=134.85 gamma=90.00
Space group Cm (No. 8)
Unique sites:
La 0.000 0.000 0.000 x2
La 0.001 0.500 0.002 x2
La 0.003 0.500 0.501 x2
La 0.250 0.251 0.501 x4
La 0.496 0.500 0.501 x2
Fe 0.263 0.500 0.502 x2
Co 0.252 0.000 0.501 x2
Sn 0.251 0.250 0.001 x4